# Rb3CaNp2Te6 GGA-PBE optimized geometry
data_Rb3CaNp2Te6
_symmetry_space_group_name_H-M 'C 1 2/m 1'
_symmetry_Int_Tables_number 12
_symmetry_space_group_name_Hall '-C 2y'
_cell_length_a 7.989
_cell_length_b 13.837
_cell_length_c 8.917
_cell_angle_alpha 90.00
_cell_angle_beta 107.37
_cell_angle_gamma 90.00
loop_
_atom_site_label
_atom_site_type_symbol
_atom_site_fract_x
_atom_site_fract_y
_atom_site_fract_z
Rb1 Rb 0.000 0.000 0.000
Rb2 Rb 0.000 0.337 0.000
Ca1 Ca 0.000 0.500 0.500
Np1 Np 0.000 0.167 0.500
Te1 Te 0.222 0.000 0.699
Te2 Te 0.239 0.328 0.700
# Uncorrected formation energy, eV per atom: -1.04

---

# TiZnAu3 GGA-PBE optimized geometry
data_TiZnAu3
_symmetry_space_group_name_H-M 'C 1 2/m 1'
_symmetry_Int_Tables_number 12
_symmetry_space_group_name_Hall '-C 2y'
_cell_length_a 9.402
_cell_length_b 4.031
_cell_length_c 9.017
_cell_angle_alpha 90.00
_cell_angle_beta 94.30
_cell_angle_gamma 90.00
loop_
_atom_site_label
_atom_site_type_symbol
_atom_site_fract_x
_atom_site_fract_y
_atom_site_fract_z
Ti1 Ti 0.153 0.000 0.060
Zn1 Zn 0.139 0.500 0.559
Au1 Au 0.046 0.500 0.853
Au2 Au 0.074 0.000 0.365
Au3 Au 0.239 0.000 0.753
# Energy above the most stable polymorph in this dataset, meV per atom: 0

---

# PrDy4Co4 GGA-PBE optimized geometry
data_PrDy4Co4
_symmetry_space_group_name_H-M 'P 42/n'
_symmetry_Int_Tables_number 86
_cell_length_a 8.518
_cell_length_b 8.518
_cell_length_c 5.551
_cell_angle_alpha 90.00
_cell_angle_beta 90.00
_cell_angle_gamma 90.00
loop_
_symmetry_equiv_pos_as_xyz
'x,y,z'
'-x,-y,-z'
'-y,x+1/2,z+1/2'
'y,-x+1/2,-z+1/2'
'-x+1/2,-y+1/2,z'
'x+1/2,y+1/2,-z'
'y+1/2,-x,z+1/2'
'-y+1/2,x,-z+1/2'
loop_
_atom_site_label
_atom_site_type_symbol
_atom_site_fract_x
_atom_site_fract_y
_atom_site_fract_z
Pr1 Pr 0.250 0.250 0.250
Dy1 Dy 0.066 0.671 0.135
Co1 Co 0.019 0.609 0.619
# Total energy, eV/f.u.: -51.93

---

# Ti4AgTe8 GGA-PBE optimized geometry
data_Ti4AgTe8
_symmetry_space_group_name_H-M 'F -4 3 m'
_symmetry_Int_Tables_number 216
_symmetry_space_group_name_Hall 'F -4 2 3'
_cell_length_a 11.409
_cell_length_b 11.409
_cell_length_c 11.409
_cell_angle_alpha 90.00
_cell_angle_beta 90.00
_cell_angle_gamma 90.00
loop_
_atom_site_label
_atom_site_type_symbol
_atom_site_fract_x
_atom_site_fract_y
_atom_site_fract_z
Ti1 Ti 0.116 0.116 0.116
Ag1 Ag 0.000 0.000 0.500
Te1 Te 0.126 0.126 0.874
Te2 Te 0.136 0.136 0.364
# Uncorrected formation energy, eV per atom: -0.58

---

# Ca3Si2Ni7 GGA-PBE optimized geometry
data_Ca3Si2Ni7
_symmetry_space_group_name_H-M 'R -3 m'
_symmetry_Int_Tables_number 166
_symmetry_space_group_name_Hall '-R 3 2"'
_cell_length_a 5.2203
_cell_length_b 5.2203
_cell_length_c 22.9188
_cell_angle_alpha 90.00
_cell_angle_beta 90.00
_cell_angle_gamma 120.00
loop_
_atom_site_label
_atom_site_type_symbol
_atom_site_fract_x
_atom_site_fract_y
_atom_site_fract_z
Ca1 Ca 0.0000 0.0000 0.0000
Ca2 Ca 0.0000 0.0000 0.1418
Si1 Si 0.0000 0.0000 0.3313
Ni1 Ni 0.0000 0.0000 0.5000
Ni2 Ni 0.0078 0.5039 0.0761
# Uncorrected formation energy, eV per atom: -0.42

---

# Ca2ScAuN GGA-PBE optimized geometry
data_Ca2ScAuN
_symmetry_space_group_name_H-M 'P 4/m m m'
_symmetry_Int_Tables_number 123
_symmetry_space_group_name_Hall '-P 4 2'
_cell_length_a 4.929
_cell_length_b 4.929
_cell_length_c 4.288
_cell_angle_alpha 90.00
_cell_angle_beta 90.00
_cell_angle_gamma 90.00
loop_
_atom_site_label
_atom_site_type_symbol
_atom_site_fract_x
_atom_site_fract_y
_atom_site_fract_z
Ca1 Ca 0.000 0.500 0.000
Sc1 Sc 0.000 0.000 0.500
Au1 Au 0.500 0.500 0.500
N1 N 0.000 0.000 0.000
# Uncorrected formation energy, eV per atom: -0.85
# Energy above the most stable polymorph in this dataset, meV per atom: 0

---

# YInPO2 GGA-PBE optimized geometry
data_YInPO2
_symmetry_space_group_name_H-M 'P 4/m m m'
_symmetry_Int_Tables_number 123
_symmetry_space_group_name_Hall '-P 4 2'
_cell_length_a 4.256
_cell_length_b 4.256
_cell_length_c 5.899
_cell_angle_alpha 90.00
_cell_angle_beta 90.00
_cell_angle_gamma 90.00
loop_
_atom_site_label
_atom_site_type_symbol
_atom_site_fract_x
_atom_site_fract_y
_atom_site_fract_z
Y1 Y 0.000 0.000 0.000
In1 In 0.500 0.500 0.500
P1 P 0.000 0.000 0.500
O1 O 0.000 0.500 0.000
# Uncorrected formation energy, eV per atom: -1.00
# Energy above the most stable polymorph in this dataset, meV per atom: 0

---

# Eu3Tm GGA-PBE optimized geometry
data_Eu3Tm
_symmetry_space_group_name_H-M 'I 4/m m m'
_symmetry_Int_Tables_number 139
_symmetry_space_group_name_Hall '-I 4 2'
_cell_length_a 5.275
_cell_length_b 5.275
_cell_length_c 10.862
_cell_angle_alpha 90.00
_cell_angle_beta 90.00
_cell_angle_gamma 90.00
loop_
_atom_site_label
_atom_site_type_symbol
_atom_site_fract_x
_atom_site_fract_y
_atom_site_fract_z
Eu1 Eu 0.000 0.000 0.000
Eu2 Eu 0.000 0.500 0.250
Tm1 Tm 0.000 0.000 0.500
# Energy above the most stable polymorph in this dataset, meV per atom: 41

---

# MgHg2P GGA-PBE optimized geometry
data_MgHg2P
_symmetry_space_group_name_H-M 'F m -3 m'
_symmetry_Int_Tables_number 225
_symmetry_space_group_name_Hall '-F 4 2 3'
_cell_length_a 6.969
_cell_length_b 6.969
_cell_length_c 6.969
_cell_angle_alpha 90.00
_cell_angle_beta 90.00
_cell_angle_gamma 90.00
loop_
_atom_site_label
_atom_site_type_symbol
_atom_site_fract_x
_atom_site_fract_y
_atom_site_fract_z
Mg1 Mg 0.000 0.000 0.000
Hg1 Hg 0.250 0.250 0.250
P1 P 0.000 0.000 0.500
# Total energy, eV/f.u.: -6.82

---

# Pm2PrY6Tm2 GGA-PBE optimized geometry
data_Pm2PrY6Tm2
_symmetry_space_group_name_H-M 'C 1 2/m 1'
_symmetry_Int_Tables_number 12
_symmetry_space_group_name_Hall '-C 2y'
_cell_length_a 5.698
_cell_length_b 12.039
_cell_length_c 10.718
_cell_angle_alpha 90.00
_cell_angle_beta 90.16
_cell_angle_gamma 90.00
loop_
_atom_site_label
_atom_site_type_symbol
_atom_site_fract_x
_atom_site_fract_y
_atom_site_fract_z
Pm1 Pm 0.000 0.136 0.000
Pr1 Pr 0.000 0.500 0.500
Y1 Y 0.001 0.000 0.288
Y2 Y 0.001 0.345 0.213
Tm1 Tm 0.000 0.200 0.500
# Total energy, eV/f.u.: -60.33

---

# MnSiTe2N GGA-PBE optimized geometry
data_MnSiTe2N
_symmetry_space_group_name_H-M 'P 4/m m m'
_symmetry_Int_Tables_number 123
_symmetry_space_group_name_Hall '-P 4 2'
_cell_length_a 5.735
_cell_length_b 5.735
_cell_length_c 3.231
_cell_angle_alpha 90.00
_cell_angle_beta 90.00
_cell_angle_gamma 90.00
loop_
_atom_site_label
_atom_site_type_symbol
_atom_site_fract_x
_atom_site_fract_y
_atom_site_fract_z
Mn1 Mn 0.000 0.000 0.000
Si1 Si 0.500 0.500 0.500
Te1 Te 0.000 0.500 0.500
N1 N 0.500 0.500 0.000
# Uncorrected formation energy, eV per atom: 0.33
# Energy above the most stable polymorph in this dataset, meV per atom: 0

---

# Ca2ReTc GGA-PBE optimized geometry
data_Ca2ReTc
_symmetry_space_group_name_H-M 'P 1 2/m 1'
_symmetry_Int_Tables_number 10
_symmetry_space_group_name_Hall '-P 2y'
_cell_length_a 2.808
_cell_length_b 4.994
_cell_length_c 5.612
_cell_angle_alpha 90.00
_cell_angle_beta 101.20
_cell_angle_gamma 90.00
loop_
_atom_site_label
_atom_site_type_symbol
_atom_site_fract_x
_atom_site_fract_y
_atom_site_fract_z
Ca1 Ca 0.013 0.000 0.250
Re1 Re 0.500 0.500 0.000
Tc1 Tc 0.500 0.500 0.500
# Energy above the most stable polymorph in this dataset, meV per atom: 527

---

Total magnetization, respectively: 7.00 1.12 0.00 1.00 0.00 0.18 1.03 7.79 0.00 0.00 4.65 0.00 μB/f.u..